A relaxed Ho3NiIr8 crystal, computed with PBE-GGA.

a b c (Å): 9.2068 9.2068 9.2068
angles (deg): 33.48 33.48 33.48
Closest atoms and distances in Å follow each position.
Sites, in units of the cell vectors:
1 Ho 0.0000 0.0000 0.0000  12 Ir 2.98-3.18, 3 Ni 3.08
2 Ho 0.1303 0.1303 0.1303  12 Ir 3.11-3.13, 4 Ho 3.36-3.39
3 Ho 0.5168 0.5168 0.5168  9 Ir 2.97-3.17
4 Ni 0.6528 0.6528 0.6528  3 Ir 2.61
5 Ir 0.0682 0.0682 0.5687  6 Ir 2.62-2.67
6 Ir 0.0682 0.5687 0.0682  6 Ir 2.62-2.67
7 Ir 0.0688 0.5665 0.5665  1 Ni 2.61, 6 Ir 2.64-2.67
8 Ir 0.3166 0.3166 0.3166  6 Ir 2.62-2.67
9 Ir 0.5665 0.0688 0.5665  1 Ni 2.61, 6 Ir 2.64-2.67
10 Ir 0.5665 0.5665 0.0688  1 Ni 2.61, 6 Ir 2.64-2.67
11 Ir 0.5687 0.0682 0.0682  6 Ir 2.62-2.67
12 Ir 0.8179 0.8179 0.8179  6 Ir 2.67

Summary:
Uncorrected energy (eV/atom): -8.051
Total magnetization (μB per formula unit): 0.74
ΔE_f (eV/atom): -0.52
Symmetry: R3m